Record 1
DFT (PBE) results for a geometry-optimized Ti2BeCd structure.

Lattice parameters (Å, degrees): 2.799 2.799 8.013 90.00 90.00 90.00
Element x y z (fractional)
Be1 0.500 0.500 0.000
Ti1 0.000 0.000 0.800
Ti2 0.000 0.000 0.200
Cd1 0.500 0.500 0.500

Values from the calculation:
- Theoretical density: 5.7 g cm⁻³
- Space group: P4/mmm, No. 123
- V: 63 Å³ per cell
- Total magnetization: 0.50 μB/cell
- Energy above the most stable polymorph in this dataset: 0.0 meV per atom

Record 2
DFT (PBE) results for a geometry-optimized Tl4GaHg6 structure.

Lattice parameters (Å, degrees): 6.515 10.610 10.610 120.00 90.00 90.00
Element x y z (fractional)
Tl1 0.065 0.860 0.140
Tl2 0.565 0.720 0.860
Tl3 0.393 0.333 0.667
Tl4 0.565 0.140 0.280
Tl5 0.065 0.280 0.140
Tl6 0.065 0.860 0.720
Tl7 0.565 0.140 0.860
Tl8 0.893 0.667 0.333
Hg1 0.794 0.017 0.508
Hg2 0.571 0.809 0.191
Hg3 0.294 0.983 0.492
Hg4 0.071 0.617 0.809
Hg5 0.571 0.383 0.191
Hg6 0.571 0.809 0.617
Hg7 0.071 0.191 0.809
Hg8 0.294 0.508 0.017
Hg9 0.794 0.492 0.508
Hg10 0.294 0.508 0.492
Hg11 0.071 0.191 0.383
Hg12 0.794 0.492 0.983
Ga1 0.844 0.333 0.667
Ga2 0.344 0.667 0.333

Values from the calculation:
- DFT total energy: -1.28 eV/atom
- Theoretical density: 10.9 g cm⁻³
- Space group: P6_3mc, No. 186
- V: 635 Å³ per cell
- Total magnetization: 0.00 μB/cell